{
  "formula": "Cs2DyCoS4",
  "functional": "GGA-PBE",
  "state": "relaxed",
  "cell": [[-4.387, 3.168, -2.675], [-1.215, -2.260, -7.495], [-10.985, -7.160, 2.725]],
  "species": ["Cs", "Cs", "Cs", "Cs", "Dy", "Dy", "Co", "Co", "S", "S", "S", "S", "S", "S", "S", "S"],
  "frac_coords": [[0.178, 0.000, 0.644], [0.822, 0.000, 0.356], [0.572, 0.500, 0.856], [0.928, 0.500, 0.144], [0.750, 0.500, 0.500], [0.000, 0.000, 0.000], [0.250, 0.500, 0.500], [0.500, 0.000, 0.000], [0.336, 0.813, 0.099], [0.248, 0.187, 0.901], [0.851, 0.813, 0.901], [0.565, 0.187, 0.099], [0.414, 0.687, 0.401], [0.502, 0.313, 0.599], [0.899, 0.687, 0.599], [0.185, 0.313, 0.401]],
  "e_form_raw_mev_per_atom": -1049,
  "sg": "No. 70",
  "energy_ev_per_atom": -4.7901
}